(1)
This record from Alexandria via LeMat-Bulk describes crystalline Pm8PrIn6 at its relaxed geometry. The functional is PBE.

The density of states at the Fermi level is 70.5 states/eV/cell. The total energy comes out at -4.188 eV/atom. The calculation puts the formation energy at -0.240 eV/atom.

The structure belongs to space group R-3 (No. 148, hexagonal axes); the cell edges are 9.2546, 9.2546 and 19.8378 Å and the angles 90.00°, 90.00° and 120.00°. Symmetry generates all atoms from Pm at (0.0000, 0.0000, 0.1671), Pm at (0.0002, 0.3326, 0.6152), Pr at (0.0000, 0.0000, 0.5000) and In at (0.9999, 0.3359, 0.4447).

***

(2)
This record from Alexandria via LeMat-Bulk describes crystalline Pm2Pr4In at its relaxed geometry. The functional is PBE.

The density of states at the Fermi level is 31.1 states/eV/cell. The energy above the most stable polymorph in this dataset comes out at 0 meV per atom. The total energy comes out at -4.539 eV/atom. The calculation puts the formation energy at -0.060 eV/atom.

The structure belongs to space group R-3m (No. 166, hexagonal axes); the cell edges are 3.7218, 3.7218 and 60.7558 Å and the angles 90.00°, 90.00° and 120.00°. Symmetry generates all atoms from Pm at (0.0000, 0.0000, 0.1908), Pr at (0.0000, 0.0000, 0.0930), Pr at (0.0000, 0.0000, 0.2908) and In at (0.0000, 0.0000, 0.0000).

***

(3)
This record from Alexandria via LeMat-Bulk describes crystalline Pm2Pr8In at its relaxed geometry. The functional is PBE.

The density of states at the Fermi level is 33.0 states/eV/cell. The energy above the most stable polymorph in this dataset comes out at 68 meV per atom. The total energy comes out at -4.588 eV/atom. The calculation puts the formation energy at 0.001 eV/atom.

The structure belongs to space group Immm (No. 71); the cell edges are 5.6881, 7.7982 and 17.7043 Å and the angles 90.00°, 90.00° and 90.00°. Symmetry generates all atoms from Pm at (0.0000, 0.0000, 0.1929), Pr at (0.0000, 0.2425, 0.0000), Pr at (0.0000, 0.2753, 0.3641), Pr at (0.0000, 0.5000, 0.1759) and In at (0.0000, 0.0000, 0.5000).

***

(4)
This record from Alexandria via LeMat-Bulk describes crystalline PmPr6In5 at its relaxed geometry. The functional is PBE.

The density of states at the Fermi level is 27.4 states/eV/cell. The total energy comes out at -4.308 eV/atom. The calculation puts the formation energy at -0.381 eV/atom.

The structure belongs to space group Cmmm (No. 65); the cell edges are 5.2004, 15.9684 and 8.8530 Å and the angles 90.00°, 90.00° and 90.00°. Symmetry generates all atoms from Pm at (0.0000, 0.0000, 0.0000), Pr at (0.0000, 0.1730, 0.2513), Pr at (0.0000, 0.5000, 0.2710), In at (0.0000, 0.0000, 0.5000), In at (0.0000, 0.3298, 0.5000) and In at (0.0000, 0.3523, 0.0000).

***

(5)
This record from Alexandria via LeMat-Bulk describes crystalline Pm5Pr3In at its relaxed geometry. The functional is PBE.

The density of states at the Fermi level is 48.6 states/eV/cell. The total energy comes out at -4.385 eV/atom. The calculation puts the formation energy at 0.151 eV/atom.

The structure belongs to space group I4/mcm (No. 140); the cell edges are 9.4297, 9.4297 and 14.1357 Å and the angles 90.00°, 90.00° and 90.00°. Symmetry generates all atoms from Pm at (0.0000, 0.0000, 0.0000), Pm at (0.1945, 0.3055, 0.1367), Pr at (0.0000, 0.0000, 0.2500), Pr at (0.1162, 0.3838, 0.5000) and In at (0.0000, 0.5000, 0.2500).

***

(6)
This record from Alexandria via LeMat-Bulk describes crystalline Pm4PrIn2 at its relaxed geometry. The functional is PBE.

The density of states at the Fermi level is 50.0 states/eV/cell. The energy above the most stable polymorph in this dataset comes out at 0 meV per atom. The total energy comes out at -4.288 eV/atom. The calculation puts the formation energy at -0.108 eV/atom.

The structure belongs to space group Cmce (No. 64); the cell edges are 12.0292, 6.9784 and 11.0792 Å and the angles 90.00°, 90.00° and 90.00°. Symmetry generates all atoms from Pm at (0.0000, 0.0015, 0.1685), Pm at (0.2500, 0.2501, 0.2500), Pr at (0.0000, 0.0000, 0.5000) and In at (0.2241, 0.0000, 0.0000).